Mn2HOsW, optimized geometry, DFT PBE; N(E_F) = 0.7406 states/eV per atom; offset from the most stable computed form = 0.0 meV per atom
1.0
3.801 0.000 0.000
0.000 3.801 0.000
0.000 0.000 3.814
Mn H Os W
2 1 1 1
Direct
0.000 0.500 0.000
0.500 0.000 0.000
0.000 0.000 0.000
0.000 0.000 0.500
0.500 0.500 0.500

Th3Ge4Pd7, optimized geometry, DFT PBE; N(E_F) = 0.6793 states/eV per atom; calculated formation energy = -80.3 kJ/mol of atoms
1.0
8.081 -2.099 0.000
8.081 2.099 0.000
-5.721 0.000 7.852
Th Ge Pd
3 4 7
Direct
0.000 0.000 0.000
0.323 0.323 0.329
0.677 0.677 0.671
0.109 0.109 0.828
0.341 0.341 0.739
0.659 0.659 0.261
0.891 0.891 0.172
0.000 0.000 0.500
0.165 0.165 0.426
0.307 0.307 0.970
0.491 0.491 0.712
0.509 0.509 0.288
0.693 0.693 0.030
0.835 0.835 0.574

Tb2PrSm7, optimized geometry, DFT PBE; N(E_F) = 1.4140 states/eV per atom; offset from the most stable computed form = 611.1 meV per atom; calculated formation energy = 63.1 kJ/mol of atoms
1.0
4.441 -8.080 0.000
4.441 8.080 0.000
0.000 0.000 5.711
Tb Pr Sm
2 1 7
Direct
0.204 0.796 0.000
0.796 0.204 0.000
0.500 0.500 0.500
0.000 0.000 0.000
0.205 0.438 0.000
0.274 0.726 0.500
0.438 0.205 0.000
0.562 0.795 0.000
0.726 0.274 0.500
0.795 0.562 0.000

CeBeSi, optimized geometry, DFT PBE; N(E_F) = 1.4668 states/eV per atom; raw formation energy = -0.483 eV per atom
1.0
3.881 0.000 0.000
0.000 4.208 0.000
0.000 0.000 6.760
Ce Be Si
2 2 2
Direct
0.000 0.000 0.000
0.500 0.000 0.500
0.000 0.500 0.338
0.000 0.500 0.662
0.500 0.500 0.176
0.500 0.500 0.824

CrMoSe2, optimized geometry, DFT PBE; N(E_F) = 1.2037 states/eV per atom; raw formation energy = 0.162 eV per atom; offset from the most stable computed form = 452.7 meV per atom
1.0
6.189 0.000 0.000
0.000 6.189 0.000
0.000 0.000 6.189
Cr Mo Se
4 4 8
Direct
0.000 0.000 0.000
0.000 0.500 0.500
0.500 0.000 0.500
0.500 0.500 0.000
0.000 0.000 0.500
0.000 0.500 0.000
0.500 0.000 0.000
0.500 0.500 0.500
0.250 0.250 0.250
0.250 0.250 0.750
0.250 0.750 0.250
0.250 0.750 0.750
0.750 0.250 0.250
0.750 0.250 0.750
0.750 0.750 0.250
0.750 0.750 0.750

RbSc2Ti2, optimized geometry, DFT PBE; N(E_F) = 1.2326 states/eV per atom; offset from the most stable computed form = 0.0 meV per atom; calculated formation energy = 57.9 kJ/mol of atoms
1.0
9.117 0.000 0.000
0.000 9.117 0.000
0.000 0.000 3.188
Rb Sc Ti
2 4 4
Direct
0.000 0.000 0.000
0.500 0.500 0.000
0.167 0.333 0.500
0.333 0.833 0.500
0.667 0.167 0.500
0.833 0.667 0.500
0.103 0.603 0.000
0.397 0.103 0.000
0.603 0.897 0.000
0.897 0.397 0.000

NpSnTe, optimized geometry, DFT PBE; N(E_F) = 3.4104 states/eV per atom; raw formation energy = -0.419 eV per atom
1.0
4.315 0.000 0.000
0.000 4.315 0.000
0.000 0.000 17.559
Np Sn Te
4 4 4
Direct
0.000 0.000 0.140
0.000 0.000 0.860
0.500 0.500 0.360
0.500 0.500 0.640
0.000 0.500 0.000
0.000 0.500 0.500
0.500 0.000 0.000
0.500 0.000 0.500
0.000 0.000 0.320
0.000 0.000 0.680
0.500 0.500 0.180
0.500 0.500 0.820

HgRuSe2, optimized geometry, DFT PBE; N(E_F) = 0.5469 states/eV per atom; raw formation energy = 0.088 eV per atom
1.0
2.993 0.000 0.000
0.000 4.938 0.000
0.000 0.000 11.314
Hg Ru Se
2 2 4
Direct
0.000 0.000 0.000
0.500 0.500 0.500
0.000 0.000 0.500
0.500 0.500 0.000
0.000 0.500 0.179
0.000 0.500 0.821
0.500 0.000 0.321
0.500 0.000 0.679

CsLa3Zn, optimized geometry, DFT PBE; N(E_F) = 1.5923 states/eV per atom; offset from the most stable computed form = 0.0 meV per atom; calculated formation energy = 30.6 kJ/mol of atoms
1.0
5.998 0.000 0.000
0.000 5.998 0.000
0.000 0.000 5.998
Cs La Zn
1 3 1
Direct
0.000 0.000 0.000
0.000 0.500 0.500
0.500 0.000 0.500
0.500 0.500 0.000
0.500 0.500 0.500

Sc3Ag, optimized geometry, DFT PBE; N(E_F) = 1.4353 states/eV per atom; offset from the most stable computed form = 94.6 meV per atom; calculated formation energy = -3.5 kJ/mol of atoms
1.0
4.937 0.000 0.000
0.000 6.306 0.000
0.000 0.000 5.636
Sc Ag
6 2
Direct
0.250 0.005 0.157
0.250 0.250 0.632
0.250 0.495 0.157
0.750 0.505 0.843
0.750 0.750 0.368
0.750 0.995 0.843
0.250 0.750 0.669
0.750 0.250 0.331

Rb2SrTlI6, optimized geometry, DFT PBE; N(E_F) = 0.6378 states/eV per atom; raw formation energy = -1.192 eV per atom; offset from the most stable computed form = 0.0 meV per atom
1.0
8.574 0.000 0.000
0.000 9.120 0.000
-8.467 0.000 12.368
Rb Sr Tl I
4 2 2 12
Direct
0.215 0.088 0.248
0.215 0.412 0.748
0.785 0.588 0.252
0.785 0.912 0.752
0.500 0.000 0.000
0.500 0.500 0.500
0.000 0.000 0.500
0.000 0.500 0.000
0.130 0.194 0.943
0.130 0.306 0.443
0.253 0.694 0.942
0.253 0.806 0.442
0.367 0.032 0.748
0.367 0.468 0.248
0.633 0.532 0.752
0.633 0.968 0.252
0.747 0.194 0.558
0.747 0.306 0.058
0.870 0.694 0.557
0.870 0.806 0.057

PrTl3Br7, optimized geometry, DFT PBE; N(E_F) = 0.3176 states/eV per atom; raw formation energy = -1.106 eV per atom
1.0
6.003 -5.503 0.000
6.003 5.503 0.000
-5.731 0.000 6.496
Pr Tl Br
1 3 7
Direct
0.000 0.000 0.000
0.284 0.846 0.567
0.572 0.572 0.143
0.846 0.284 0.567
0.009 0.393 0.324
0.203 0.203 0.918
0.204 0.687 0.834
0.393 0.009 0.324
0.685 0.685 0.615
0.687 0.204 0.834
0.874 0.874 0.199